a.
Computed, not measured: a relaxed TiVW6 crystal at the PBE level of DFT.

Summary:
Spin magnetization = 0.0 μB per formula unit

The structure in CIF format:
```
data_TiVW6
_chemical_formula_sum 'Ti2 V2 W12'
_symmetry_space_group_name_H-M 'C 1 2/m 1'
_symmetry_Int_Tables_number 12
_cell_length_a 7.573
_cell_length_b 5.283
_cell_length_c 7.386
_cell_angle_alpha 90.00
_cell_angle_beta 106.11
_cell_angle_gamma 90.00
loop_
_symmetry_equiv_pos_as_xyz
'x,y,z'
'-x,-y,-z'
'-x,y,-z'
'x,-y,z'
'x+1/2,y+1/2,z'
'-x+1/2,-y+1/2,-z'
'-x+1/2,y+1/2,-z'
'x+1/2,-y+1/2,z'
loop_
_atom_site_label
_atom_site_fract_x
_atom_site_fract_y
_atom_site_fract_z
Ti1 0.000 0.000 0.000
V1 0.000 0.500 0.500
W1 0.141 0.000 0.427
W2 0.193 0.246 0.796
```

b.
Computed, not measured: a relaxed TiVW6 crystal at the PBE level of DFT.

Summary:
Spin magnetization = 0.0 μB per formula unit

The structure in CIF format:
```
data_TiVW6
_chemical_formula_sum 'Ti3 V3 W18'
_symmetry_space_group_name_H-M 'R -3 m'
_symmetry_Int_Tables_number 166
_symmetry_space_group_name_Hall '-R 3 2"'
_cell_length_a 9.1545
_cell_length_b 9.1545
_cell_length_c 5.3530
_cell_angle_alpha 90.00
_cell_angle_beta 90.00
_cell_angle_gamma 120.00
loop_
_atom_site_label
_atom_site_fract_x
_atom_site_fract_y
_atom_site_fract_z
Ti1 0.0000 0.0000 0.0000
V1 0.0000 0.0000 0.5000
W1 0.0034 0.5017 0.2508
```

Pick the least stable structure from those above. Pick: a